Entry 1:
Density functional theory data (PBE-GGA) for crystalline ZnBI3 at its relaxed geometry.

- Total moment: 0.000 μB per formula unit
- ΔE to the lowest computed polymorph: 187.4 meV/atom

Lattice parameters (Å, degrees): 5.5934 5.5934 5.5934 90.00 90.00 90.00
Closest atoms and distances in Å follow each position.
Element x y z (fractional)
Zn (0.0000, 0.0000, 0.0000)  6 I 2.80
B (0.5000, 0.5000, 0.5000)  12 I 3.96
I (0.0000, 0.0000, 0.5000)  2 Zn 2.80
I (0.0000, 0.5000, 0.0000)  2 Zn 2.80
I (0.5000, 0.0000, 0.0000)  2 Zn 2.80

***

Entry 2:
Density functional theory data (PBE-GGA) for crystalline ZnBI3 at its relaxed geometry.

- Total moment: 0.000 μB per formula unit
- ΔE to the lowest computed polymorph: 0.0 meV/atom

Lattice parameters (Å, degrees): 5.1592 5.1592 5.1592 90.00 90.00 90.00
Closest atoms and distances in Å follow each position.
Element x y z (fractional)
Zn (0.0000, 0.0000, 0.0000)  12 I 3.65
B (0.5000, 0.5000, 0.5000)  6 I 2.58
I (0.0000, 0.5000, 0.5000)  2 B 2.58
I (0.5000, 0.0000, 0.5000)  2 B 2.58
I (0.5000, 0.5000, 0.0000)  2 B 2.58

***

Entry 3:
Density functional theory data (PBE-GGA) for crystalline Zn3BI at its relaxed geometry.

- Total moment: 0.000 μB per formula unit
- ΔE to the lowest computed polymorph: 0.0 meV/atom

Lattice parameters (Å, degrees): 4.4946 4.4946 4.4946 90.00 90.00 90.00
Closest atoms and distances in Å follow each position.
Element x y z (fractional)
Zn (0.0000, 0.0000, 0.5000)  2 B 2.25
Zn (0.0000, 0.5000, 0.0000)  2 B 2.25
Zn (0.5000, 0.0000, 0.0000)  2 B 2.25
B (0.0000, 0.0000, 0.0000)  6 Zn 2.25
I (0.5000, 0.5000, 0.5000)  12 Zn 3.18

***

Entry 4:
Density functional theory data (PBE-GGA) for crystalline ZnB2I8 at its relaxed geometry.

- Total moment: 0.000 μB per formula unit
- Raw total energy: -2.582 eV per atom

Lattice parameters (Å, degrees): 8.5189 8.5189 9.0971 104.02 104.02 93.91
Closest atoms and distances in Å follow each position.
Element x y z (fractional)
Zn (0.0000, 0.0000, 0.0000)  2 I 2.43
B (0.2800, 0.2800, 0.7584)  3 I 2.13
B (0.7200, 0.7200, 0.2416)  3 I 2.13
I (0.0467, 0.3432, 0.7764)  1 B 2.13
I (0.1777, 0.1777, 0.2427)  1 Zn 2.43
I (0.3432, 0.0467, 0.7764)  1 B 2.13
I (0.4522, 0.4522, 0.7247)  1 B 2.13
I (0.5478, 0.5478, 0.2753)  1 B 2.13
I (0.6568, 0.9533, 0.2236)  1 B 2.13
I (0.8223, 0.8223, 0.7573)  1 Zn 2.43
I (0.9533, 0.6568, 0.2236)  1 B 2.13